VASP calculation (GGA-PBE) on a geometry-optimized CaAlPb structure.

SG: No. 57

a = 6.204 Å, b = 6.178 Å, c = 8.307 Å
α = 90.00°, β = 90.00°, γ = 90.00°
Atoms (fractional coordinates):
Ca 0.631 0.250 0.410
Ca 0.631 0.750 0.090
Ca 0.369 0.750 0.590
Ca 0.369 0.250 0.910
Al 0.192 0.500 0.250
Al 0.808 0.500 0.750
Al 0.192 0.000 0.250
Al 0.808 0.000 0.750
Pb 0.144 0.250 0.565
Pb 0.856 0.250 0.065
Pb 0.856 0.750 0.435
Pb 0.144 0.750 0.935


VASP calculation (GGA-PBE) on a geometry-optimized CaAl2Pb structure.

SG: No. 8

a = 4.585 Å, b = 4.585 Å, c = 6.297 Å
α = 68.80°, β = 68.80°, γ = 59.84°
Atoms (fractional coordinates):
Al 0.041 0.041 0.876
Al 0.703 0.703 0.891
Pb 0.273 0.273 0.181
Ca 0.482 0.482 0.551


VASP calculation (GGA-PBE) on a geometry-optimized CaAl2Pb structure.

SG: No. 44

a = 5.916 Å, b = 5.916 Å, c = 5.916 Å
α = 137.28°, β = 134.62°, γ = 64.08°
Atoms (fractional coordinates):
Pb 0.248 0.748 0.500
Ca 0.518 0.518 0.000
Al 0.776 0.276 0.500
Al 0.958 0.958 0.000


VASP calculation (GGA-PBE) on a geometry-optimized CaAl2Pb structure.

SG: No. 160

a = 9.200 Å, b = 9.200 Å, c = 9.200 Å
α = 23.06°, β = 23.06°, γ = 23.06°
Atoms (fractional coordinates):
Ca 0.506 0.506 0.506
Al 0.262 0.262 0.262
Al 0.993 0.993 0.993
Pb 0.739 0.739 0.739


VASP calculation (GGA-PBE) on a geometry-optimized CaAl3Pb structure.

SG: No. 221
Energy relative to the lowest polymorph listed for this composition in eV per atom: 0.352

a = 5.516 Å, b = 5.516 Å, c = 5.516 Å
α = 90.00°, β = 90.00°, γ = 90.00°
Atoms (fractional coordinates):
Al 0.500 0.000 0.000
Al 0.000 0.500 0.000
Al 0.000 0.000 0.500
Ca 0.000 0.000 0.000
Pb 0.500 0.500 0.500


VASP calculation (GGA-PBE) on a geometry-optimized CaAlPb structure.

SG: No. 156

a = 4.616 Å, b = 4.616 Å, c = 4.576 Å
α = 90.00°, β = 90.00°, γ = 120.00°
Atoms (fractional coordinates):
Pb 0.667 0.333 0.748
Al 0.000 0.000 0.928
Ca 0.333 0.667 0.324


VASP calculation (GGA-PBE) on a geometry-optimized Ca2AlPb structure.

SG: No. 12
Energy relative to the lowest polymorph listed for this composition in eV per atom: 0.164

a = 5.543 Å, b = 5.543 Å, c = 6.122 Å
α = 75.51°, β = 75.51°, γ = 41.21°
Atoms (fractional coordinates):
Al 0.250 0.250 0.250
Ca 0.504 0.504 0.490
Ca 0.996 0.996 0.010
Pb 0.750 0.750 0.750


VASP calculation (GGA-PBE) on a geometry-optimized CaAl2Pb2 structure.

SG: No. 139
Energy relative to the lowest polymorph listed for this composition in eV per atom: 0.000

a = 5.119 Å, b = 5.119 Å, c = 6.433 Å
α = 66.55°, β = 66.55°, γ = 90.00°
Atoms (fractional coordinates):
Al 0.382 0.382 0.236
Al 0.618 0.618 0.764
Ca 0.000 0.000 0.000
Pb 0.250 0.750 0.500
Pb 0.750 0.250 0.500


Density
In order: 5.7, 4.8, 5.1, 4.8, 3.2, 5.4, 4.4, 6.1
Unit: g/cm3
Formation enthalpy at 0 K
In order: -0.22, -0.11, -0.08, 0.06, 1.02, -0.19, -0.18, -0.03
Unit: eV/atom
Electronic total energy
In order: -3.370, -3.411, -3.380, -3.241, -2.371, -3.345, -3.048, -3.409
Unit: eV/atom